(1)
# Hf2Zr7Sc2

A geometry-optimized Hf2Zr7Sc2 structure (PBE, the Alexandria database).

a = 5.891 Å, b = 5.891 Å, c = 15.101 Å
α = 95.63°, β = 95.63°, γ = 96.72°
Element x y z (fractional)
Hf1 0.144 0.760 0.525
Hf2 0.240 0.856 0.975
Hf3 0.760 0.144 0.025
Hf4 0.856 0.240 0.475
Zr1 0.008 0.404 0.854
Zr2 0.204 0.477 0.344
Zr3 0.307 0.361 0.033
Zr4 0.346 0.654 0.750
Zr5 0.361 0.307 0.533
Zr6 0.404 0.008 0.354
Zr7 0.477 0.204 0.844
Zr8 0.523 0.796 0.156
Zr9 0.596 0.992 0.646
Zr10 0.639 0.693 0.467
Zr11 0.654 0.346 0.250
Zr12 0.693 0.639 0.967
Zr13 0.796 0.523 0.656
Zr14 0.992 0.596 0.146
Sc1 0.112 0.129 0.678
Sc2 0.129 0.112 0.178
Sc3 0.871 0.888 0.822
Sc4 0.888 0.871 0.322

Computed properties:
Total energy   -8.311 eV per atom
N(E_F)   25.6 states/eV per cell
Mass density   7.00 g/cm³
Energy relative to the elements   9 kJ per mole of atoms
Polymorph energy (0 for the lowest one)   0 meV per atom

***

(2)
# HfZrSc6

A geometry-optimized HfZrSc6 structure (PBE, the Alexandria database).

a = 6.389 Å, b = 6.389 Å, c = 6.389 Å
α = 110.51°, β = 110.51°, γ = 110.51°
Element x y z (fractional)
Hf1 0.000 0.000 0.000
Zr1 0.500 0.500 0.500
Sc1 0.249 0.249 0.750
Sc2 0.249 0.750 0.249
Sc3 0.250 0.751 0.751
Sc4 0.750 0.249 0.249
Sc5 0.751 0.250 0.751
Sc6 0.751 0.751 0.250

Computed properties:
Total energy   -6.785 eV per atom
N(E_F)   17.2 states/eV per cell
Mass density   4.65 g/cm³
Energy relative to the elements   27 kJ per mole of atoms
Polymorph energy (0 for the lowest one)   164 meV per atom